Here is CaNdPu4 after structural relaxation from Alexandria. Energies are from PBE-GGA.

The calculation puts the calculated formation energy at 304.4 meV per atom. The symmetry is F-43m, No. 216.

```
CaNdPu4
1.0
-5.5506 -2.2206 -2.1861
-3.1795 -4.4210 3.2962
-5.4257 1.5255 2.9588
Ca Nd Pu
1 1 4
direct
0.2500 0.2500 0.2500 Ca
0.0000 0.0000 0.0000 Nd
0.6255 0.6255 0.1236 Pu
0.6255 0.1236 0.6255 Pu
0.6255 0.6255 0.6255 Pu
0.1236 0.6255 0.6255 Pu
```